1.
Below is a relaxed structure of Ca3In7Ag4, with properties calculated at the GGA-PBE level.

Calculated values
The calculated volume is 346 Å³/cell. For the formation energy, the calculation gives -6.73 kcal/mol of atoms.

abc: 4.557 8.969 9.335
angles: 72.44 75.87 75.28
Atoms (fractional coordinates):
In 0.323 0.831 0.523
In 0.677 0.169 0.477
Ca 0.000 0.500 0.500
In 0.492 0.219 0.796
Ag 0.658 0.444 0.240
In 0.838 0.393 0.930
Ag 0.879 0.911 0.331
Ag 0.342 0.556 0.760
In 0.162 0.607 0.070
Ag 0.121 0.089 0.669
Ca 0.308 0.186 0.198
In 0.000 0.000 0.000
Ca 0.692 0.814 0.802
In 0.508 0.781 0.204

=====

2.
Below is a relaxed structure of TlOsBr2, with properties calculated at the GGA-PBE level.

Calculated values
The calculated volume is 105 Å³/cell. Its formation energy from raw total energies is 2.50 eV/f.u.

abc: 3.601 3.601 9.374
angles: 90.00 90.00 120.65
Last column: magnetic moment on the atom in μB.
Atoms (fractional coordinates):
Os 0.000 0.000 0.499  0.22
Tl 0.500 0.500 0.724  0.00
Br 0.000 0.000 0.956  0.00
Br 0.500 0.500 0.320  0.02

=====

3.
Below is a relaxed structure of TbDy2Tm3Sb6, with properties calculated at the GGA-PBE level.

Calculated values
The calculated volume is 352 Å³/cell. Its formation energy from raw total energies is -13.23 eV/f.u.

abc: 4.362 8.725 9.752
angles: 102.85 102.92 90.00
Atoms (fractional coordinates):
Sb 0.666 0.585 0.332
Tb 0.500 0.000 0.000
Tm 0.167 0.833 0.333
Sb 0.668 0.081 0.335
Sb 0.999 0.253 0.999
Sb 0.332 0.919 0.665
Dy 0.167 0.333 0.333
Sb 0.334 0.415 0.668
Tm 0.500 0.500 0.000
Tm 0.833 0.167 0.667
Dy 0.833 0.667 0.667
Sb 0.001 0.747 0.001

=====

4.
Below is a relaxed structure of Sr4CaH10, with properties calculated at the GGA-PBE level.

Calculated values
The calculated volume is 238 Å³/cell. The raw total energy is -3.353 eV per atom.

abc: 4.075 4.075 16.751
angles: 83.01 83.01 60.00
Atoms (fractional coordinates):
H 0.347 0.347 0.958
Sr 0.201 0.201 0.398
H 0.551 0.551 0.346
Sr 0.602 0.602 0.193
H 0.047 0.047 0.859
H 0.653 0.653 0.042
H 0.953 0.953 0.141
H 0.150 0.150 0.550
H 0.252 0.252 0.245
H 0.748 0.748 0.755
Sr 0.398 0.398 0.807
Sr 0.799 0.799 0.602
H 0.850 0.850 0.450
Ca 0.000 0.000 0.000
H 0.449 0.449 0.654

=====

5.
Below is a relaxed structure of GdUTcIr, with properties calculated at the GGA-PBE level.

Calculated values
The calculated volume is 80 Å³/cell. For the formation energy, the calculation gives -4.75 kcal/mol of atoms.

abc: 4.843 4.843 4.843
angles: 60.00 60.00 60.00
Last column: magnetic moment on the atom in μB.
Atoms (fractional coordinates):
Gd 0.000 0.000 0.000  6.93
Ir 0.250 0.250 0.250  0.03
U 0.500 0.500 0.500  -1.71
Tc 0.750 0.750 0.750  0.12

=====

6.
Below is a relaxed structure of TaBeZnRh, with properties calculated at the GGA-PBE level.

Calculated values
The calculated volume is 55 Å³/cell. For the formation energy, the calculation gives -5.20 kcal/mol of atoms.

abc: 4.281 4.281 4.281
angles: 60.00 60.00 60.00
Atoms (fractional coordinates):
Ta 0.250 0.250 0.250
Zn 0.750 0.750 0.750
Rh 0.000 0.000 0.000
Be 0.500 0.500 0.500

=====

7.
Below is a relaxed structure of Hf2TaGe2, with properties calculated at the GGA-PBE level.

Calculated values
The calculated volume is 181 Å³/cell. For the formation energy, the calculation gives -14.79 kcal/mol of atoms.

abc: 6.955 6.955 3.748
angles: 90.00 90.00 90.00
Atoms (fractional coordinates):
Hf 0.673 0.827 0.500
Hf 0.327 0.173 0.500
Ge 0.631 0.131 0.000
Ge 0.869 0.631 0.000
Hf 0.827 0.327 0.500
Ta 0.500 0.500 0.000
Ge 0.131 0.369 0.000
Hf 0.173 0.673 0.500
Ge 0.369 0.869 0.000
Ta 0.000 0.000 0.000

=====

8.
Below is a relaxed structure of LiTmLuRe, with properties calculated at the GGA-PBE level.

Calculated values
The calculated volume is 81 Å³/cell. For the formation energy, the calculation gives 0.36 kcal/mol of atoms.

abc: 4.850 4.850 4.850
angles: 60.00 60.00 60.00
Atoms (fractional coordinates):
Re 0.000 0.000 0.000
Tm 0.250 0.250 0.250
Li 0.500 0.500 0.500
Lu 0.750 0.750 0.750

=====

9.
Below is a relaxed structure of Sr3In5Sn2, with properties calculated at the GGA-PBE level.

Calculated values
The calculated volume is 656 Å³/cell. For the formation energy, the calculation gives -7.18 kcal/mol of atoms.

abc: 7.110 10.244 10.244
angles: 80.65 69.70 69.70
Atoms (fractional coordinates):
In 0.494 0.756 0.756
In 0.506 0.244 0.244
In 0.628 0.247 0.497
Sr 0.622 0.610 0.146
In 0.872 0.503 0.753
In 0.750 0.500 0.500
Sr 0.878 0.854 0.390
In 0.994 0.756 0.756
Sr 0.122 0.146 0.610
In 0.372 0.753 0.503
Sr 0.250 0.000 0.000
Sn 0.130 0.711 0.029
Sn 0.870 0.289 0.971
Sn 0.370 0.971 0.289
In 0.006 0.244 0.244
Sn 0.630 0.029 0.711
Sr 0.750 0.000 0.000
Sr 0.378 0.390 0.854
In 0.128 0.497 0.247
In 0.250 0.500 0.500

=====

10.
Below is a relaxed structure of NaMgBi2, with properties calculated at the GGA-PBE level.

Calculated values
The calculated volume is 117 Å³/cell. For the formation energy, the calculation gives -4.60 kcal/mol of atoms.

abc: 3.718 3.718 9.969
angles: 79.25 79.25 60.00
Atoms (fractional coordinates):
Bi 0.744 0.744 0.769
Bi 0.256 0.256 0.231
Na 0.500 0.500 0.500
Mg 0.000 0.000 0.000

=====

11.
Below is a relaxed structure of Tb2SiSnRh6, with properties calculated at the GGA-PBE level.

Calculated values
The calculated volume is 209 Å³/cell. Its formation energy from raw total energies is -4.86 eV/f.u.

abc: 6.093 7.400 7.376
angles: 48.60 66.24 90.40
Atoms (fractional coordinates):
Sn 0.000 0.000 0.000
Tb 0.237 0.762 0.524
Rh 0.259 0.743 0.929
Rh 0.259 0.186 0.485
Rh 0.741 0.814 0.515
Rh 0.820 0.742 0.924
Rh 0.180 0.258 0.076
Tb 0.763 0.238 0.476
Rh 0.741 0.257 0.071
Si 0.500 0.500 0.000

=====

12.
Below is a relaxed structure of La2ZnTe, with properties calculated at the GGA-PBE level.

Calculated values
The calculated volume is 115 Å³/cell. Its formation energy from raw total energies is -2.71 eV/f.u.

abc: 6.414 6.414 6.414
angles: 138.31 138.31 60.43
Atoms (fractional coordinates):
La 0.250 0.750 0.500
Zn 0.750 0.250 0.500
Te 0.500 0.500 0.000
La 0.000 0.000 0.000

=====

13.
Below is a relaxed structure of YZr11, with properties calculated at the GGA-PBE level.

Calculated values
The calculated volume is 288 Å³/cell. For the formation energy, the calculation gives 1.12 kcal/mol of atoms.

abc: 3.176 10.224 10.224
angles: 120.00 90.00 90.00
Atoms (fractional coordinates):
Zr 0.500 0.825 0.650
Zr 0.000 0.667 0.333
Zr 0.000 0.333 0.667
Y 0.000 0.000 0.000
Zr 0.000 0.500 0.500
Zr 0.000 0.000 0.500
Zr 0.500 0.825 0.175
Zr 0.500 0.650 0.825
Zr 0.500 0.350 0.175
Zr 0.000 0.500 0.000
Zr 0.500 0.175 0.825
Zr 0.500 0.175 0.350

=====

14.
Below is a relaxed structure of Cr2CuRu, with properties calculated at the GGA-PBE level.

Calculated values
The calculated volume is 110 Å³/cell. For the formation energy, the calculation gives 17.17 kcal/mol of atoms.

abc: 6.636 6.636 5.315
angles: 51.38 51.38 90.00
Atoms (fractional coordinates):
Cr 0.101 0.625 0.250
Cu 0.250 0.750 0.500
Cr 0.649 0.125 0.250
Cu 0.500 0.500 0.000
Ru 0.000 0.000 0.000
Cr 0.875 0.899 0.750
Ru 0.750 0.250 0.500
Cr 0.375 0.351 0.750

=====

15.
Below is a relaxed structure of HfAl3Au4, with properties calculated at the GGA-PBE level.

Calculated values
The calculated volume is 140 Å³/cell. For the formation energy, the calculation gives -9.27 kcal/mol of atoms.

abc: 4.419 4.448 8.549
angles: 75.77 75.00 60.29
Atoms (fractional coordinates):
Au 0.131 0.124 0.614
Al 0.253 0.258 0.232
Hf 0.000 0.000 0.000
Au 0.391 0.386 0.835
Au 0.869 0.876 0.386
Al 0.747 0.742 0.768
Au 0.609 0.614 0.165
Al 0.500 0.500 0.500

=====

16.
Below is a relaxed structure of LaAl4Zn2Pt, with properties calculated at the GGA-PBE level.

Calculated values
The calculated volume is 153 Å³/cell. For the formation energy, the calculation gives -10.83 kcal/mol of atoms.

abc: 4.339 4.339 9.694
angles: 77.07 77.07 60.00
Atoms (fractional coordinates):
La 0.000 0.000 0.000
Al 0.135 0.135 0.596
Zn 0.263 0.263 0.212
Pt 0.500 0.500 0.500
Al 0.410 0.410 0.771
Zn 0.737 0.737 0.788
Al 0.865 0.865 0.404
Al 0.590 0.590 0.229

=====

17.
Below is a relaxed structure of LuSn2Rh, with properties calculated at the GGA-PBE level.

Calculated values
The calculated volume is 97 Å³/cell. For the formation energy, the calculation gives -1.95 kcal/mol of atoms.

abc: 3.330 3.330 10.310
angles: 80.71 80.71 60.00
Atoms (fractional coordinates):
Rh 0.500 0.500 0.500
Lu 0.000 0.000 0.000
Sn 0.898 0.898 0.305
Sn 0.102 0.102 0.695

=====

18.
Below is a relaxed structure of La2AgPd, with properties calculated at the GGA-PBE level.

Calculated values
The calculated volume is 219 Å³/cell. For the formation energy, the calculation gives -12.19 kcal/mol of atoms.

abc: 4.841 6.036 7.980
angles: 110.05 90.00 90.00
Atoms (fractional coordinates):
La 0.750 0.236 0.429
La 0.250 0.784 0.065
Pd 0.750 0.661 0.793
Ag 0.250 0.330 0.712
La 0.250 0.764 0.571
Ag 0.750 0.670 0.288
Pd 0.250 0.339 0.207
La 0.750 0.216 0.935

=====

19.
Below is a relaxed structure of SrLa4Hg5, with properties calculated at the GGA-PBE level.

Calculated values
The calculated volume is 303 Å³/cell. For the formation energy, the calculation gives -11.80 kcal/mol of atoms.

abc: 3.928 3.928 19.670
angles: 90.00 90.00 90.00
Last column: magnetic moment on the atom in μB.
Atoms (fractional coordinates):
Hg 0.500 0.500 0.500  0.01
La 0.000 0.000 0.203  0.09
Sr 0.000 0.000 0.000  0.00
Hg 0.500 0.500 0.698  0.01
Hg 0.500 0.500 0.107  0.00
La 0.000 0.000 0.599  0.16
Hg 0.500 0.500 0.893  0.00
La 0.000 0.000 0.401  0.16
Hg 0.500 0.500 0.302  0.01
La 0.000 0.000 0.797  0.09

=====

20.
Below is a relaxed structure of La2CdTc, with properties calculated at the GGA-PBE level.

Calculated values
The calculated volume is 105 Å³/cell. For the formation energy, the calculation gives 4.53 kcal/mol of atoms.

abc: 3.813 3.813 7.234
angles: 90.00 90.00 90.00
Atoms (fractional coordinates):
La 0.000 0.000 0.938
La 0.500 0.500 0.296
Tc 0.000 0.000 0.556
Cd 0.500 0.500 0.711